# 1
The following is a DFT calculation (GGA-PBEsol) of NaGa2Se2 after structural relaxation.

Unit cell a=3.915 b=3.915 c=14.081 alpha=90.00 beta=90.00 gamma=90.00
Space group I4/mmm (No. 139)
One atom of each set of equivalent atoms:
Na1 0.000 0.000 0.000
Ga1 0.000 0.500 0.250
Se1 0.000 0.000 0.408

Results
**Raw total energy**: -0.1281 hartree per atom
**N(E_F)**: 2.80 states/eV per cell
**E_form (uncorrected)**: -0.329 eV per atom
**Crystal system**: tetragonal

=====

# 2
The following is a DFT calculation (GGA-PBEsol) of Na2Ga2Se3 after structural relaxation.

Unit cell a=6.812 b=11.798 c=8.603 alpha=90.00 beta=105.29 gamma=90.00
Space group C2/m (No. 12)
One atom of each set of equivalent atoms:
Na1 0.000 0.000 0.000
Na2 0.000 0.166 0.500
Na3 0.000 0.500 0.500
Ga1 0.048 0.333 0.145
Se1 0.245 0.332 0.738
Se2 0.249 0.000 0.738

Results
**Raw total energy**: -0.1412 hartree per atom
**E_form (uncorrected)**: -0.839 eV per atom
**Crystal system**: monoclinic

=====

# 3
The following is a DFT calculation (GGA-PBEsol) of Na2ZnGaSi after structural relaxation.

Unit cell a=5.339 b=5.339 c=4.520 alpha=90.00 beta=90.00 gamma=90.00
Space group P4/mmm (No. 123)
One atom of each set of equivalent atoms:
Na1 0.000 0.500 0.000
Zn1 0.000 0.000 0.500
Ga1 0.000 0.000 0.000
Si1 0.500 0.500 0.500

Results
**Raw total energy**: -0.0759 hartree per atom
**N(E_F)**: 2.80 states/eV per cell
**E_form (uncorrected)**: 0.629 eV per atom
**Crystal system**: tetragonal

=====

# 4
The following is a DFT calculation (GGA-PBEsol) of NaGaSn after structural relaxation.

Unit cell a=4.6159 b=4.6159 c=7.4056 alpha=90.00 beta=90.00 gamma=120.00
Space group P6_3mc (No. 186)
One atom of each set of equivalent atoms:
Na1 0.0000 0.0000 0.0000
Ga1 0.3333 0.6667 0.1785
Sn1 0.3333 0.6667 0.7874

Results
**Energy of formation**: -0.189 eV/atom
**Raw total energy**: -0.1172 hartree per atom
**N(E_F)**: 0.94 states/eV per cell
**Crystal system**: hexagonal

=====

# 5
The following is a DFT calculation (GGA-PBEsol) of NaTaGaSn2 after structural relaxation.

Unit cell a=5.072 b=5.072 c=5.078 alpha=90.00 beta=90.00 gamma=90.00
Space group P4/mmm (No. 123)
One atom of each set of equivalent atoms:
Na1 0.000 0.000 0.000
Ta1 0.000 0.000 0.500
Ga1 0.500 0.500 0.500
Sn1 0.000 0.500 0.000

Results
**Energy of formation**: 1.579 eV/atom
**Raw total energy**: -0.1316 hartree per atom
**N(E_F)**: 5.68 states/eV per cell
**Crystal system**: tetragonal

=====

# 6
The following is a DFT calculation (GGA-PBEsol) of NaSr2Ga2 after structural relaxation.

Unit cell a=8.625 b=8.625 c=4.117 alpha=90.00 beta=90.00 gamma=90.00
Space group P4/mbm (No. 127)
One atom of each set of equivalent atoms:
Na1 0.000 0.000 0.000
Sr1 0.182 0.318 0.500
Ga1 0.107 0.607 0.000

Results
**Energy of formation**: -0.259 eV/atom
**Raw total energy**: -0.0959 hartree per atom
**N(E_F)**: 6.27 states/eV per cell
**Crystal system**: tetragonal

=====

# 7
The following is a DFT calculation (GGA-PBEsol) of NaSr2Ga2 after structural relaxation.

Unit cell a=6.093 b=6.093 c=8.766 alpha=90.00 beta=90.00 gamma=90.00
Space group I4/mmm (No. 139)
One atom of each set of equivalent atoms:
Na1 0.000 0.000 0.000
Sr1 0.000 0.500 0.250
Ga1 0.000 0.000 0.364

Results
**Energy of formation**: -0.140 eV/atom
**Raw total energy**: -0.0916 hartree per atom
**N(E_F)**: 7.01 states/eV per cell
**Crystal system**: tetragonal

=====

# 8
The following is a DFT calculation (GGA-PBEsol) of NaGaTc3 after structural relaxation.

Unit cell a=4.419 b=4.419 c=4.419 alpha=90.00 beta=90.00 gamma=90.00
Space group Pm-3m (No. 221)
One atom of each set of equivalent atoms:
Na1 0.000 0.000 0.000
Ga1 0.500 0.500 0.500
Tc1 0.000 0.000 0.500

Results
**Energy of formation**: 2.580 eV/atom
**Raw total energy**: -0.1884 hartree per atom
**N(E_F)**: 5.04 states/eV per cell
**Crystal system**: cubic

=====

# 9
The following is a DFT calculation (GGA-PBEsol) of NaGa3Tc after structural relaxation.

Unit cell a=4.787 b=4.787 c=4.787 alpha=90.00 beta=90.00 gamma=90.00
Space group Pm-3m (No. 221)
One atom of each set of equivalent atoms:
Na1 0.000 0.000 0.000
Ga1 0.000 0.500 0.500
Tc1 0.500 0.500 0.500

Results
**Energy of formation**: -0.055 eV/atom
**Raw total energy**: -0.1687 hartree per atom
**N(E_F)**: 2.14 states/eV per cell
**Crystal system**: cubic

=====

# 10
The following is a DFT calculation (GGA-PBEsol) of Na3TlGa after structural relaxation.

Unit cell a=5.720 b=5.720 c=5.720 alpha=90.00 beta=90.00 gamma=90.00
Space group Pm-3m (No. 221)
One atom of each set of equivalent atoms:
Na1 0.000 0.000 0.500
Tl1 0.000 0.000 0.000
Ga1 0.500 0.500 0.500

Results
**Energy of formation**: 0.388 eV/atom
**Raw total energy**: -0.0605 hartree per atom
**N(E_F)**: 3.38 states/eV per cell
**Crystal system**: cubic

=====

# 11
The following is a DFT calculation (GGA-PBEsol) of NaY2Ga2 after structural relaxation.

Unit cell a=4.682 b=4.682 c=12.305 alpha=90.00 beta=90.00 gamma=90.00
Space group I4/mmm (No. 139)
One atom of each set of equivalent atoms:
Na1 0.000 0.000 0.000
Y1 0.000 0.500 0.250
Ga1 0.000 0.000 0.403

Results
**Energy of formation**: -0.044 eV/atom
**Raw total energy**: -0.1613 hartree per atom
**N(E_F)**: 10.19 states/eV per cell
**Crystal system**: tetragonal

=====

# 12
The following is a DFT calculation (GGA-PBEsol) of NaZn2Ga2 after structural relaxation.

Unit cell a=4.036 b=4.036 c=11.262 alpha=90.00 beta=90.00 gamma=90.00
Space group I4/mmm (No. 139)
One atom of each set of equivalent atoms:
Na1 0.000 0.000 0.000
Zn1 0.000 0.500 0.250
Ga1 0.000 0.000 0.390

Results
**Energy of formation**: -0.052 eV/atom
**Raw total energy**: -0.0845 hartree per atom
**N(E_F)**: 4.26 states/eV per cell
**Crystal system**: tetragonal

=====

# 13
The following is a DFT calculation (GGA-PBEsol) of Na2Zn2Ga after structural relaxation.

Unit cell a=6.540 b=6.540 c=4.910 alpha=90.00 beta=90.00 gamma=90.00
Space group P4/mbm (No. 127)
One atom of each set of equivalent atoms:
Na1 0.178 0.322 0.000
Zn1 0.135 0.635 0.500
Ga1 0.000 0.000 0.500

Results
**Energy of formation**: 0.034 eV/atom
**Raw total energy**: -0.0671 hartree per atom
**N(E_F)**: 3.17 states/eV per cell
**Crystal system**: tetragonal

=====

# 14
The following is a DFT calculation (GGA-PBEsol) of NaZn2Ga2 after structural relaxation.

Unit cell a=7.933 b=7.933 c=2.796 alpha=90.00 beta=90.00 gamma=90.00
Space group P4/mbm (No. 127)
One atom of each set of equivalent atoms:
Na1 0.000 0.000 0.000
Zn1 0.153 0.347 0.500
Ga1 0.141 0.641 0.000

Results
**Energy of formation**: -0.006 eV/atom
**Raw total energy**: -0.0829 hartree per atom
**N(E_F)**: 3.56 states/eV per cell
**Crystal system**: tetragonal

=====

# 15
The following is a DFT calculation (GGA-PBEsol) of NaZrGa2 after structural relaxation.

Unit cell a=6.695 b=6.695 c=6.695 alpha=90.00 beta=90.00 gamma=90.00
Space group Fm-3m (No. 225)
One atom of each set of equivalent atoms:
Na1 0.000 0.000 0.000
Zr1 0.000 0.000 0.500
Ga1 0.250 0.250 0.250

Results
**Energy of formation**: -0.076 eV/atom
**Raw total energy**: -0.1605 hartree per atom
**N(E_F)**: 9.13 states/eV per cell
**Crystal system**: cubic

=====

# 16
The following is a DFT calculation (GGA-PBEsol) of Nb5Ga13 after structural relaxation.

Unit cell a=3.751 b=40.137 c=3.743 alpha=90.00 beta=90.00 gamma=90.00
Space group Cmmm (No. 65)
One atom of each set of equivalent atoms:
Nb1 0.000 0.000 0.000
Nb2 0.000 0.216 0.000
Nb3 0.000 0.392 0.500
Ga1 0.000 0.055 0.500
Ga2 0.000 0.112 0.000
Ga3 0.000 0.164 0.500
Ga4 0.000 0.272 0.500
Ga5 0.000 0.335 0.000
Ga6 0.000 0.445 0.000
Ga7 0.000 0.500 0.500

Results
**Energy of formation**: -0.386 eV/atom
**Raw total energy**: -0.2133 hartree per atom
**N(E_F)**: 11.59 states/eV per cell
**Crystal system**: orthorhombic

=====

# 17
The following is a DFT calculation (GGA-PBEsol) of Nb5Ga3 after structural relaxation.

Unit cell a=10.251 b=10.251 c=5.042 alpha=90.00 beta=90.00 gamma=90.00
Space group I4/mcm (No. 140)
One atom of each set of equivalent atoms:
Nb1 0.000 0.500 0.250
Nb2 0.076 0.221 0.000
Ga1 0.000 0.000 0.250
Ga2 0.165 0.335 0.500

Results
**Energy of formation**: -0.377 eV/atom
**Raw total energy**: -0.3084 hartree per atom
**N(E_F)**: 20.50 states/eV per cell
**Crystal system**: tetragonal

=====

# 18
The following is a DFT calculation (GGA-PBEsol) of Nb5Ga3 after structural relaxation.

Unit cell a=7.7044 b=7.7044 c=5.2344 alpha=90.00 beta=90.00 gamma=120.00
Space group P6_3/mcm (No. 193)
One atom of each set of equivalent atoms:
Nb1 0.0000 0.2482 0.2500
Nb2 0.3333 0.6667 0.0000
Ga1 0.0000 0.3928 0.7500

Results
**Energy of formation**: -0.284 eV/atom
**Raw total energy**: -0.3050 hartree per atom
**N(E_F)**: 14.21 states/eV per cell
**Crystal system**: hexagonal

=====

# 19
The following is a DFT calculation (GGA-PBEsol) of Nb5Ga4 after structural relaxation.

Unit cell a=7.9184 b=7.9184 c=5.4061 alpha=90.00 beta=90.00 gamma=120.00
Space group P6_3/mcm (No. 193)
One atom of each set of equivalent atoms:
Nb1 0.0000 0.2808 0.2500
Nb2 0.3333 0.6667 0.0000
Ga1 0.0000 0.0000 0.0000
Ga2 0.0000 0.3836 0.7500

Results
**Energy of formation**: -0.398 eV/atom
**Raw total energy**: -0.2901 hartree per atom
**N(E_F)**: 8.84 states/eV per cell
**Crystal system**: hexagonal

=====

# 20
The following is a DFT calculation (GGA-PBEsol) of Nd2NbGaO7 after structural relaxation.

Unit cell a=7.258 b=7.434 c=10.422 alpha=90.00 beta=90.00 gamma=90.00
Space group Imma (No. 74)
One atom of each set of equivalent atoms:
Nd1 0.000 0.000 0.000
Nd2 0.250 0.250 0.250
Nb1 0.000 0.000 0.500
Ga1 0.250 0.250 0.750
O1 0.000 0.250 0.125
O2 0.000 0.250 0.422
O3 0.000 0.250 0.830
O4 0.202 0.044 0.625

Results
**Raw total energy**: -0.3089 hartree per atom
**N(E_F)**: 0.00 states/eV per cell
**E_form (uncorrected)**: -2.839 eV per atom
**Crystal system**: orthorhombic

=====

# 21
The following is a DFT calculation (GGA-PBEsol) of Nb3GaNi after structural relaxation.

Unit cell a=4.647 b=4.647 c=4.647 alpha=90.00 beta=90.00 gamma=90.00
Space group Pm-3m (No. 221)
One atom of each set of equivalent atoms:
Nb1 0.000 0.000 0.500
Ga1 0.000 0.000 0.000
Ni1 0.500 0.500 0.500

Results
**Energy of formation**: 1.410 eV/atom
**Raw total energy**: -0.2566 hartree per atom
**N(E_F)**: 7.53 states/eV per cell
**Crystal system**: cubic

=====

# 22
The following is a DFT calculation (GGA-PBEsol) of NbGa2Ni2 after structural relaxation.

Unit cell a=3.590 b=3.590 c=10.735 alpha=90.00 beta=90.00 gamma=90.00
Space group I4/mmm (No. 139)
One atom of each set of equivalent atoms:
Nb1 0.000 0.000 0.000
Ga1 0.000 0.500 0.250
Ni1 0.000 0.000 0.397

Results
**Energy of formation**: -0.124 eV/atom
**Raw total energy**: -0.2237 hartree per atom
**N(E_F)**: 8.93 states/eV per cell
**Crystal system**: tetragonal

=====

# 23
The following is a DFT calculation (GGA-PBEsol) of NbGaPb2O6 after structural relaxation.

Unit cell a=7.947 b=7.947 c=7.947 alpha=90.00 beta=90.00 gamma=90.00
Space group Fm-3m (No. 225)
One atom of each set of equivalent atoms:
Nb1 0.000 0.000 0.000
Ga1 0.000 0.000 0.500
Pb1 0.250 0.250 0.250
O1 0.000 0.000 0.251

Results
**Raw total energy**: -0.2640 hartree per atom
**N(E_F)**: 0.00 states/eV per cell
**E_form (uncorrected)**: -1.819 eV per atom
**Crystal system**: cubic

=====

| no. | size of the total moment (μB per cell) |
| --- | --- |
| 1 | 0.0 |
| 2 | 0.0 |
| 3 | 0.0 |
| 4 | 0.0 |
| 5 | 1.9 |
| 6 | 0.0 |
| 7 | 0.0 |
| 8 | 4.7 |
| 9 | 0.0 |
| 10 | 0.0 |
| 11 | 0.0 |
| 12 | 0.0 |
| 13 | 0.0 |
| 14 | 0.0 |
| 15 | 0.0 |
| 16 | 0.0 |
| 17 | 0.0 |
| 18 | 0.0 |
| 19 | 0.0 |
| 20 | 0.0 |
| 21 | 0.0 |
| 22 | 0.0 |
| 23 | 0.0 |